No. 1
K2AgPt (PBE-GGA, relaxed); crystal system = trigonal; energy relative to the elements = 0.348 eV/atom
1.0
10.989 0.000 0.000
10.508 3.217 0.000
10.508 1.573 2.806
K Pt Ag
2 1 1
Cartesian
16.164 2.419 1.417
31.842 4.765 2.792
8.001 1.197 0.702
24.003 3.592 2.105

---

No. 2
K2OsCl2 (PBE-GGA, relaxed); uncorrected formation energy = 0.058 eV/atom; crystal system = tetragonal
1.0
9.185 0.000 0.000
0.000 9.185 0.000
0.000 0.000 3.258
Cl K Os
4 4 2
Cartesian
7.789 3.196 1.629
1.396 5.989 1.629
5.989 7.789 1.629
3.196 1.396 1.629
7.864 5.914 0.000
5.914 1.321 0.000
3.272 7.864 0.000
1.321 3.272 0.000
4.593 4.593 0.000
0.000 0.000 0.000

---

No. 3
TaNb2Ru (PBE-GGA, relaxed); crystal system = monoclinic; energy relative to the elements = -0.034 eV/atom
1.0
-1.696 2.538 0.018
-7.475 -5.001 -1.054
-1.327 0.912 5.100
Ta Ru Nb
2 2 4
Cartesian
-6.861 -2.785 3.541
-3.637 1.234 0.523
-7.505 -1.364 1.381
-2.993 -0.187 2.684
-4.954 -1.491 0.753
-2.298 2.104 3.768
-5.544 -0.060 3.311
-8.201 -3.655 0.296

---

No. 4
Zn2Ni9Ir (PBE-GGA, relaxed); crystal system = tetragonal; energy relative to the elements = -0.077 eV/atom
1.0
3.598 0.000 0.000
0.000 3.598 0.000
0.000 0.000 10.736
Ir Ni Zn
1 9 2
Cartesian
0.000 0.000 0.000
1.799 0.000 1.801
1.799 1.799 7.147
1.799 0.000 5.368
0.000 1.799 1.801
0.000 1.799 5.368
1.799 0.000 8.935
0.000 1.799 8.935
1.799 1.799 0.000
1.799 1.799 3.588
0.000 0.000 3.608
0.000 0.000 7.127

---

No. 5
Cd2HgPb2 (PBE-GGA, relaxed); crystal system = orthorhombic; energy relative to the elements = 0.117 eV/atom
1.0
6.412 -0.523 0.000
-1.955 6.129 0.000
0.000 0.000 7.747
Hg Cd Pb
2 4 4
Cartesian
0.384 0.484 5.810
4.073 5.123 1.937
1.379 1.735 3.360
1.379 1.735 0.513
3.078 3.872 4.386
3.078 3.872 7.234
4.469 1.022 3.873
4.469 1.022 0.000
-0.012 4.584 0.000
-0.012 4.584 3.873

---

No. 6
BaTaAs2Au (PBE-GGA, relaxed); crystal system = tetragonal; energy relative to the elements = 1.066 eV/atom
1.0
5.133 0.000 0.000
0.000 5.133 0.000
0.000 0.000 5.696
Ba As Au Ta
1 2 1 1
Cartesian
0.000 0.000 2.848
0.000 2.567 0.000
2.567 0.000 0.000
0.000 0.000 0.000
2.567 2.567 2.848

---

No. 7
K2RbNbO4 (PBE-GGA, relaxed); uncorrected formation energy = -2.145 eV/atom; crystal system = tetragonal
1.0
-3.306 -4.498 2.280
0.667 -3.090 -5.135
5.538 1.631 3.277
O Rb K Nb
4 1 2 1
Cartesian
-1.155 -4.506 0.313
2.849 -3.091 0.939
3.812 -0.324 1.980
0.292 -3.993 -2.390
0.001 0.000 0.000
0.457 -3.331 2.065
2.443 -2.627 -1.643
4.219 -2.163 1.849

---

No. 8
VFe5Si4 (PBE-GGA, relaxed); uncorrected formation energy = -0.442 eV/atom; crystal system = tetragonal
1.0
-1.080 -0.634 -2.449
2.459 0.363 -1.178
3.059 -13.649 2.186
V Si Fe
1 4 5
Cartesian
0.000 0.000 0.000
2.430 -10.843 1.736
1.230 -5.488 0.879
0.629 -2.806 0.449
1.829 -8.161 1.307
1.034 -1.673 -1.568
3.404 -12.247 0.126
2.812 -9.603 -0.298
1.627 -4.318 -1.144
2.219 -6.960 -0.721

---

No. 9
YNpAs (PBE-GGA, relaxed); crystal system = tetragonal; energy relative to the elements = -0.407 eV/atom
1.0
3.757 0.000 0.000
0.000 8.922 0.000
0.000 0.000 8.922
Np As Y
4 4 4
Cartesian
1.879 5.390 3.380
1.879 3.532 5.542
0.000 3.380 3.532
0.000 5.542 5.390
1.879 1.262 3.530
1.879 7.660 5.392
0.000 3.530 7.660
0.000 5.392 1.262
0.000 8.135 2.745
1.879 2.745 0.787
0.000 0.787 6.177
1.879 6.177 8.135

---

No. 10
LaV3In (PBE-GGA, relaxed); crystal system = cubic; energy relative to the elements = 1.519 eV/atom
1.0
-1.900 3.352 2.563
-2.900 1.004 -3.463
-3.064 -3.029 1.688
V In La
3 1 1
Cartesian
-1.450 0.502 -1.732
-1.532 -1.514 0.844
-0.950 1.676 1.282
-3.933 0.663 0.394
0.000 0.000 0.000

---

Across the entries above, magnetization takes the values 0.0 7.0 0.0 3.7 0.0 3.0 0.1 0.1 8.8 0.0 Bohr magnetons per cell, respectively.